Record 1
This record from OQMD describes a relaxed structure of Sr2Si2Ni3Ag. The functional is PBE.

## Properties
E_tot: -4.596 eV/atom
spin magnetization: 0.02 μB per formula unit

Geometry as POSCAR:
```
Sr2Si2Ni3Ag
1.0
4.093 0.000 0.000
-2.046 3.544 0.000
0.000 0.000 10.710
Ag Ni Si Sr
1 3 2 2
Cartesian
0.000 0.000 0.651
0.000 0.000 5.002
0.000 2.363 5.729
0.000 2.363 10.271
2.046 1.181 5.370
2.046 1.181 10.334
0.000 2.363 2.852
0.000 0.000 7.987
```

Record 2
This record from OQMD describes a relaxed structure of BePdSO. The functional is PBE.

## Properties
energy above the most stable polymorph in this dataset: 3.60 eV per formula unit
E_tot: -4.726 eV/atom

Geometry as POSCAR:
```
BePdSO
1.0
3.205 0.000 0.000
0.000 3.205 0.000
0.000 0.000 9.875
Be O Pd S
2 2 2 2
Cartesian
2.404 2.404 0.785
0.801 0.801 9.090
0.801 0.801 0.727
2.404 2.404 9.148
0.801 0.801 2.828
2.404 2.404 7.047
2.404 0.801 4.938
0.801 2.404 4.938
```

Record 3
This record from OQMD describes a relaxed structure of Ho3Te2P. The functional is PBE.

## Properties
E_tot: -5.671 eV/atom
spin magnetization: 0.00 μB per formula unit

Geometry as POSCAR:
```
Ho3Te2P
1.0
-1.541 0.290 3.852
0.419 -3.727 -1.797
9.841 -0.821 3.999
Ho P Te
3 1 2
Cartesian
0.000 0.000 0.000
3.383 -2.690 1.556
5.336 -1.569 4.498
4.921 -0.411 1.999
0.852 -1.194 2.676
7.867 -3.064 3.378
```

Record 4
This record from OQMD describes a relaxed structure of AlMo3C. The functional is PBE.

## Properties
E_tot: -9.068 eV/atom
spin magnetization: 0.00 μB per formula unit

Geometry as POSCAR:
```
AlMo3C
1.0
4.152 0.000 0.000
0.000 4.152 0.000
0.000 0.000 4.152
Al C Mo
1 1 3
Cartesian
0.000 0.000 0.000
2.076 2.076 2.076
2.076 2.076 0.000
2.076 0.000 2.076
0.000 2.076 2.076
```